Entry 1:
BaSb2Au: PBEsol geometry, SCAN.

abc: 4.9149 4.9149 9.1278
angles: 90.00 90.00 90.00
Closest atoms and distances in Å follow each position.
Space group I-4m2 (No. 119)
Inequivalent atoms, fractional coordinates:
1 Ba 0.0000 0.0000 0.0000 x2  8 Sb 3.35-3.48, 4 Au 3.35
2 Sb 0.0000 0.0000 0.5000 x2  4 Sb 3.35, 4 Au 3.35, 4 Ba 3.48
3 Sb 0.0000 0.5000 0.7500 x2  4 Ba 3.35, 4 Sb 3.35, 4 Au 3.48
4 Au 0.0000 0.5000 0.2500 x2  4 Ba 3.35, 8 Sb 3.35-3.48

formation energy (no corrections) = -0.329 eV per atom
E_tot = -46.137 eV per atom

Entry 2:
MnNiMo2: PBEsol geometry, SCAN.

abc: 3.7731 3.7731 7.1730
angles: 90.00 90.00 90.00
Closest atoms and distances in Å follow each position.
Space group I4/mmm (No. 139)
Inequivalent atoms, fractional coordinates:
1 Mn 0.0000 0.0000 0.0000 x2  8 Mo 2.60, 4 Ni 2.67
2 Ni 0.0000 0.0000 0.5000 x2  8 Mo 2.60, 4 Mn 2.67
3 Mo 0.0000 0.5000 0.2500 x4  4 Mn 2.60, 4 Ni 2.60, 4 Mo 2.67

E_form = 120 meV per atom
E_tot = -25.929 eV per atom

Entry 3:
SrZr4Se: PBEsol geometry, SCAN.

abc: 8.4348 8.4348 8.4348
angles: 90.00 90.00 90.00
Closest atoms and distances in Å follow each position.
Space group F-43m (No. 216)
Inequivalent atoms, fractional coordinates:
1 Sr 0.0000 0.0000 0.0000 x4  12 Zr 3.49, 4 Se 3.65
2 Zr 0.1295 0.1295 0.3705 x16  6 Zr 2.88-3.09
3 Se 0.2500 0.2500 0.7500 x4  12 Zr 3.51, 4 Sr 3.65

formation energy (no corrections) = 0.494 eV per atom
E_tot = -27.031 eV per atom

Entry 4:
AlIn3: PBEsol geometry, SCAN.

abc: 3.2330 3.2330 30.8180
angles: 90.00 90.00 120.00
Closest atoms and distances in Å follow each position.
Space group R-3m (No. 166, hexagonal axes)
Inequivalent atoms, fractional coordinates:
1 Al 0.0000 0.0000 0.0000 x3  6 In 3.04, 6 Al 3.23
2 In 0.0000 0.0000 0.2556 x6  3 Al 3.04, 9 In 3.23-3.32
3 In 0.0000 0.0000 0.5000 x3  12 In 3.23-3.32

E_form = 134 meV per atom
E_tot = -26.844 eV per atom

Entry 5:
ZnCd: PBEsol geometry, SCAN.

abc: 4.3312 4.3312 4.8521
angles: 90.00 90.00 120.00
Closest atoms and distances in Å follow each position.
Space group P6_3/mmc (No. 194)
Inequivalent atoms, fractional coordinates:
1 Zn 0.0000 0.0000 0.0000 x2  2 Zn 2.43
2 Cd 0.3333 0.6667 0.2500 x2  6 Zn 2.78

E_form = 94 meV per atom
E_tot = -21.871 eV per atom

Entry 6:
BaLi2Mg: PBEsol geometry, SCAN.

abc: 3.7369 5.6757 5.8956
angles: 90.00 90.00 90.00
Closest atoms and distances in Å follow each position.
Space group Pmmm (No. 47)
Inequivalent atoms, fractional coordinates:
1 Ba 0.0000 0.0000 0.0000 x1  4 Li 3.40, 4 Mg 3.49, 2 Ba 3.74
2 Li 0.0000 0.5000 0.5000 x1  4 Mg 3.40, 6 Li 3.49-3.74
3 Li 0.5000 0.5000 0.0000 x1  4 Ba 3.40, 6 Li 3.49-3.74
4 Mg 0.5000 0.0000 0.5000 x1  4 Li 3.40, 4 Ba 3.49, 2 Mg 3.74

E_form = 165 meV per atom
E_tot = -12.161 eV per atom

Entry 7:
Ta2AgP: PBEsol geometry, SCAN.

abc: 3.3750 3.5076 5.7454
angles: 90.00 106.13 90.00
Closest atoms and distances in Å follow each position.
Space group Pm (No. 6)
Inequivalent atoms, fractional coordinates:
1 Ta 0.0000 0.0000 0.0000 x1  1 P 2.50, 4 Ag 2.78-2.80
2 Ta 0.3243 0.5000 0.7119 x1  4 P 2.60, 2 Ta 2.83
3 Ag 0.6201 0.5000 0.2474 x1  2 P 2.41
4 P 0.7467 0.0000 0.5478 x1  2 Ag 2.41, 5 Ta 2.50-2.60

E_form = -50 meV per atom
E_tot = -43.783 eV per atom

Entry 8:
Cu2RuBr: PBEsol geometry, SCAN.

abc: 2.9853 4.2840 4.3659
angles: 90.00 90.00 90.00
Closest atoms and distances in Å follow each position.
Space group Pmmm (No. 47)
Inequivalent atoms, fractional coordinates:
1 Cu 0.0000 0.0000 0.0000 x1  4 Cu 2.61, 4 Br 2.64
2 Cu 0.5000 0.5000 0.0000 x1  4 Cu 2.61, 4 Ru 2.64
3 Ru 0.0000 0.5000 0.5000 x1  4 Br 2.61, 4 Cu 2.64
4 Br 0.5000 0.0000 0.5000 x1  4 Ru 2.61, 4 Cu 2.64

formation energy (no corrections) = 0.780 eV per atom
E_tot = -20.392 eV per atom

Entry 9:
LiInBr2: PBEsol geometry, SCAN.

abc: 4.2338 4.2338 12.6989
angles: 90.00 90.00 90.00
Closest atoms and distances in Å follow each position.
Space group I-4m2 (No. 119)
Inequivalent atoms, fractional coordinates:
1 Li 0.0000 0.0000 0.0000 x2  4 Br 2.99
2 In 0.0000 0.5000 0.7500 x2  4 Br 2.99
3 Br 0.0000 0.0000 0.5000 x2  4 Li 2.99
4 Br 0.0000 0.5000 0.2500 x2  4 In 2.99

formation energy (no corrections) = -0.918 eV per atom
E_tot = -19.591 eV per atom

Entry 10:
CsP2SO: PBEsol geometry, SCAN.

abc: 7.4055 7.4055 6.3191
angles: 90.00 90.00 90.00
Closest atoms and distances in Å follow each position.
Space group P4/mmm (No. 123)
Inequivalent atoms, fractional coordinates:
1 Cs 0.0000 0.0000 0.0000 x1  2 S 3.16
2 P 0.0000 0.5000 0.0000 x2  2 Cs 3.70
3 S 0.0000 0.0000 0.5000 x1  2 Cs 3.16
4 O 0.5000 0.5000 0.5000 x1  8 P 4.87, 4 S 5.24

formation energy (no corrections) = 1.871 eV per atom
E_tot = -13.023 eV per atom

Entry 11:
TeAsSe2N: PBEsol geometry, SCAN.

abc: 4.4689 4.4689 4.4500
angles: 90.00 90.00 90.00
Closest atoms and distances in Å follow each position.
Space group P4/mmm (No. 123)
Inequivalent atoms, fractional coordinates:
1 Te 0.0000 0.0000 0.0000 x1  8 Se 3.15, 4 As 3.16
2 As 0.5000 0.5000 0.0000 x1  2 N 2.23
3 Se 0.0000 0.5000 0.5000 x2  2 N 2.23
4 N 0.5000 0.5000 0.5000 x1  2 As 2.23, 4 Se 2.23

formation energy (no corrections) = 0.875 eV per atom
E_tot = -20.503 eV per atom

Entry 12:
ScZn2As: PBEsol geometry, SCAN.

abc: 3.5178 3.5178 5.5990
angles: 90.00 90.00 90.00
Closest atoms and distances in Å follow each position.
Space group P4mm (No. 99)
Inequivalent atoms, fractional coordinates:
1 Sc 0.0000 0.0000 0.0000 x1  4 As 2.72, 2 Zn 2.78-2.82
2 Zn 0.0000 0.0000 0.4957 x1  4 Zn 2.68, 2 Sc 2.78-2.82
3 Zn 0.5000 0.5000 0.3164 x1  4 Zn 2.68, 2 As 2.73-2.87
4 As 0.5000 0.5000 0.8041 x1  4 Sc 2.72, 6 Zn 2.73-3.03

E_form = -390 meV per atom
E_tot = -15.755 eV per atom

Entry 13:
SnSCl2: PBEsol geometry, SCAN.

abc: 3.2273 3.2273 28.2941
angles: 90.00 90.00 120.00
Closest atoms and distances in Å follow each position.
Space group R-3m (No. 166, hexagonal axes)
Inequivalent atoms, fractional coordinates:
1 Sn 0.0000 0.0000 0.0000 x3  2 Cl 2.51
2 S 0.0000 0.0000 0.5000 x3  6 Cl 2.89, 6 S 3.23
3 Cl 0.0000 0.0000 0.0888 x6  1 Sn 2.51

formation energy (no corrections) = 0.339 eV per atom
E_tot = -15.037 eV per atom

Entry 14:
FeAgIr2: PBEsol geometry, SCAN.

abc: 2.6954 4.2125 5.2115
angles: 90.00 104.75 90.00
Closest atoms and distances in Å follow each position.
Space group P2/m (No. 10)
Inequivalent atoms, fractional coordinates:
1 Fe 0.0000 0.0000 0.0000 x1  4 Ir 2.51, 2 Ag 2.61, 2 Fe 2.70
2 Ag 0.0000 0.0000 0.5000 x1  2 Fe 2.61, 2 Ag 2.70, 8 Ir 2.83-2.86
3 Ir 0.3763 0.5000 0.2310 x2  2 Fe 2.51, 5 Ir 2.66-2.73

E_form = 198 meV per atom
E_tot = -47.726 eV per atom

Entry 15:
NaCrF4: PBEsol geometry, SCAN.

abc: 5.9315 4.8387 5.4550
angles: 90.00 108.05 90.00
Closest atoms and distances in Å follow each position.
Space group P2_1/c (No. 14)
Inequivalent atoms, fractional coordinates:
1 Na 0.0000 0.0000 0.0000 x2  6 F 2.22-2.45
2 Cr 0.5000 0.0000 0.5000 x2  6 F 1.87-1.94
3 F 0.1925 0.1419 0.4044 x4  1 Cr 1.87
4 F 0.3938 0.7078 0.6805 x4  2 Cr 1.94

formation energy (no corrections) = -3.106 eV per atom
E_tot = -9.232 eV per atom

Entry 16:
SrCd2ClF: PBEsol geometry, SCAN.

abc: 6.5595 6.5595 5.3208
angles: 90.00 90.00 90.00
Closest atoms and distances in Å follow each position.
Space group P4/mmm (No. 123)
Inequivalent atoms, fractional coordinates:
1 Sr 0.0000 0.0000 0.0000 x1  2 Cl 2.66
2 Cd 0.0000 0.5000 0.0000 x2  2 Sr 3.28
3 Cl 0.0000 0.0000 0.5000 x1  2 Sr 2.66
4 F 0.5000 0.5000 0.5000 x1  8 Cd 4.22, 4 Cl 4.64

formation energy (no corrections) = -0.643 eV per atom
E_tot = -19.567 eV per atom

Entry 17:
AgIO2F: PBEsol geometry, SCAN.

abc: 4.3898 4.3898 4.1738
angles: 90.00 90.00 90.00
Closest atoms and distances in Å follow each position.
Space group P4/mmm (No. 123)
Inequivalent atoms, fractional coordinates:
1 Ag 0.0000 0.0000 0.0000 x1  8 O 3.03, 4 I 3.10
2 I 0.5000 0.5000 0.0000 x1  2 F 2.09
3 O 0.0000 0.5000 0.5000 x2  2 F 2.19
4 F 0.5000 0.5000 0.5000 x1  2 I 2.09, 4 O 2.19

formation energy (no corrections) = 0.691 eV per atom
E_tot = -16.131 eV per atom

Entry 18:
YCoMo2: PBEsol geometry, SCAN.

abc: 3.6901 3.6901 4.8367
angles: 90.00 90.00 90.00
Closest atoms and distances in Å follow each position.
Space group P4/mmm (No. 123)
Inequivalent atoms, fractional coordinates:
1 Y 0.0000 0.0000 0.0000 x1  4 Co 2.61
2 Co 0.5000 0.5000 0.0000 x1  4 Y 2.61
3 Mo 0.0000 0.5000 0.5000 x2  4 Mo 2.61

E_form = 472 meV per atom
E_tot = -28.257 eV per atom

Entry 19:
TlRe2Hg: PBEsol geometry, SCAN.

abc: 3.9716 3.9716 8.8731
angles: 90.00 90.00 90.00
Closest atoms and distances in Å follow each position.
Space group I4/mmm (No. 139)
Inequivalent atoms, fractional coordinates:
1 Tl 0.0000 0.0000 0.0000 x2  4 Hg 2.81, 8 Re 2.98
2 Re 0.0000 0.5000 0.2500 x4  4 Re 2.81, 4 Hg 2.98, 4 Tl 2.98
3 Hg 0.0000 0.0000 0.5000 x2  4 Tl 2.81, 8 Re 2.98

E_form = 1367 meV per atom
E_tot = -69.313 eV per atom

Entry 20:
Li2Ti3CrO8: PBEsol geometry, SCAN.

abc: 5.9089 5.9089 14.1802
angles: 90.00 90.00 120.00
Closest atoms and distances in Å follow each position.
Space group R-3m (No. 166, hexagonal axes)
Inequivalent atoms, fractional coordinates:
1 Li 0.0000 0.0000 0.1239 x6  4 O 1.94-1.97
2 Ti 0.0000 0.5000 0.0000 x9  6 O 1.98-1.99
3 Cr 0.0000 0.0000 0.5000 x3  6 O 1.98
4 O 0.0000 0.0000 0.2609 x6  1 Li 1.94, 3 Ti 1.99
5 O 0.0318 0.5159 0.2542 x18  1 Li 1.97, 2 Ti 1.98, 1 Cr 1.98

formation energy (no corrections) = -2.995 eV per atom
E_tot = -11.645 eV per atom